Entry 1:
# CaFeSi (PBE, optimized geometry)
data_CaFeSi
_space_group_name_H-M_alt 'F -4 3 m'
_space_group_IT_number 216
_space_group_name_Hall 'F -4 2 3'
_cell_length_a 6.2148
_cell_length_b 6.2148
_cell_length_c 6.2148
_cell_angle_alpha 90.00
_cell_angle_beta 90.00
_cell_angle_gamma 90.00
loop_
_atom_site_label
_atom_site_type_symbol
_atom_site_fract_x
_atom_site_fract_y
_atom_site_fract_z
Ca1 Ca 0.0000 0.0000 0.0000
Fe1 Fe 0.2500 0.2500 0.2500
Si1 Si 0.0000 0.0000 0.5000
# N(E_F): 29.8 states/eV per cell
# Volume: 240.0 Å³ per cell
# ΔE_f (raw): 31 kJ per mole of atoms
# Magnetization: 2.60 μB/f.u.

Entry 2:
# AlTcRu2 (PBE, optimized geometry)
data_AlTcRu2
_space_group_name_H-M_alt 'P 4/m m m'
_space_group_IT_number 123
_space_group_name_Hall '-P 4 2'
_cell_length_a 2.8912
_cell_length_b 2.8912
_cell_length_c 6.6478
_cell_angle_alpha 90.00
_cell_angle_beta 90.00
_cell_angle_gamma 90.00
loop_
_atom_site_label
_atom_site_type_symbol
_atom_site_fract_x
_atom_site_fract_y
_atom_site_fract_z
Al1 Al 0.0000 0.0000 0.0000
Tc1 Tc 0.0000 0.0000 0.5000
Ru1 Ru 0.5000 0.5000 0.2388
# N(E_F): 3.5 states/eV per cell
# Volume: 55.6 Å³ per cell
# Energy of formation: -0.3047 eV per atom
# Magnetization: 0.00 μB/f.u.

Entry 3:
# MnNiBiTe2 (PBE, optimized geometry)
data_MnNiBiTe2
_space_group_name_H-M_alt 'P 4/m m m'
_space_group_IT_number 123
_space_group_name_Hall '-P 4 2'
_cell_length_a 5.1473
_cell_length_b 5.1473
_cell_length_c 4.6803
_cell_angle_alpha 90.00
_cell_angle_beta 90.00
_cell_angle_gamma 90.00
loop_
_atom_site_label
_atom_site_type_symbol
_atom_site_fract_x
_atom_site_fract_y
_atom_site_fract_z
Mn1 Mn 0.0000 0.0000 0.0000
Ni1 Ni 0.0000 0.0000 0.5000
Bi1 Bi 0.5000 0.5000 0.0000
Te1 Te 0.0000 0.5000 0.5000
# N(E_F): 3.0 states/eV per cell
# Volume: 124.0 Å³ per cell
# ΔE_f (raw): 31 kJ per mole of atoms
# Magnetization: 4.41 μB/f.u.

Entry 4:
# LiTaInRh (PBE, optimized geometry)
data_LiTaInRh
_space_group_name_H-M_alt 'F -4 3 m'
_space_group_IT_number 216
_space_group_name_Hall 'F -4 2 3'
_cell_length_a 6.3394
_cell_length_b 6.3394
_cell_length_c 6.3394
_cell_angle_alpha 90.00
_cell_angle_beta 90.00
_cell_angle_gamma 90.00
loop_
_atom_site_label
_atom_site_type_symbol
_atom_site_fract_x
_atom_site_fract_y
_atom_site_fract_z
Li1 Li 0.0000 0.0000 0.0000
Ta1 Ta 0.2500 0.2500 0.7500
In1 In 0.2500 0.2500 0.2500
Rh1 Rh 0.0000 0.0000 0.5000
# Volume: 254.8 Å³ per cell
# Energy of formation: -0.3346 eV per atom
# Magnetization: 0.00 μB/f.u.

Entry 5:
# LiPr2Ge4Pt3 (PBE, optimized geometry)
data_LiPr2Ge4Pt3
_space_group_name_H-M_alt 'P -4 m 2'
_space_group_IT_number 115
_space_group_name_Hall 'P -4 -2'
_cell_length_a 4.3513
_cell_length_b 4.3513
_cell_length_c 10.2843
_cell_angle_alpha 90.00
_cell_angle_beta 90.00
_cell_angle_gamma 90.00
loop_
_atom_site_label
_atom_site_type_symbol
_atom_site_fract_x
_atom_site_fract_y
_atom_site_fract_z
Li1 Li 0.0000 0.0000 0.0000
Pr1 Pr 0.0000 0.5000 0.7520
Ge1 Ge 0.0000 0.0000 0.5000
Ge2 Ge 0.0000 0.5000 0.1324
Ge3 Ge 0.5000 0.5000 0.5000
Pt1 Pt 0.0000 0.5000 0.3750
Pt2 Pt 0.5000 0.5000 0.0000
# N(E_F): 5.2 states/eV per cell
# Volume: 194.7 Å³ per cell
# Energy of formation: -0.8847 eV per atom
# Magnetization: 0.00 μB/f.u.

Entry 6:
# VAsPb2 (PBE, optimized geometry)
data_VAsPb2
_space_group_name_H-M_alt 'I -4 2 d'
_space_group_IT_number 122
_space_group_name_Hall 'I -4 2bw'
_cell_length_a 6.8974
_cell_length_b 6.8974
_cell_length_c 11.1052
_cell_angle_alpha 90.00
_cell_angle_beta 90.00
_cell_angle_gamma 90.00
loop_
_atom_site_label
_atom_site_type_symbol
_atom_site_fract_x
_atom_site_fract_y
_atom_site_fract_z
V1 V 0.0000 0.0000 0.0000
As1 As 0.0000 0.0000 0.5000
Pb1 Pb 0.2445 0.2500 0.6250
# N(E_F): 15.1 states/eV per cell
# Volume: 528.3 Å³ per cell
# Energy of formation: 0.7440 eV per atom
# Magnetization: 3.54 μB/f.u.

What did the fourth record say?
# LiTaInRh (PBE, optimized geometry)
data_LiTaInRh
_space_group_name_H-M_alt 'F -4 3 m'
_space_group_IT_number 216
_space_group_name_Hall 'F -4 2 3'
_cell_length_a 6.3394
_cell_length_b 6.3394
_cell_length_c 6.3394
_cell_angle_alpha 90.00
_cell_angle_beta 90.00
_cell_angle_gamma 90.00
loop_
_atom_site_label
_atom_site_type_symbol
_atom_site_fract_x
_atom_site_fract_y
_atom_site_fract_z
Li1 Li 0.0000 0.0000 0.0000
Ta1 Ta 0.2500 0.2500 0.7500
In1 In 0.2500 0.2500 0.2500
Rh1 Rh 0.0000 0.0000 0.5000
# Volume: 254.8 Å³ per cell
# Energy of formation: -0.3346 eV per atom
# Magnetization: 0.00 μB/f.u.

Q: volume of number 1 (CaFeSi)?
A: 240.0 Å³ per cell

Q: Which value of volume does entry 2 give?
A: 55.6 Å³ per cell